No. 1
A relaxed structure of Mn3BeNi12. Source: Alexandria via LeMat-Bulk, functional GGA-PBE.

Computed properties:
Crystal system: tetragonal
Calculated formation energy, eV/atom: -0.12
D(E_F), states/eV per cell: 17.5

a b c (Å): 3.5447 3.5447 14.0214
angles (deg): 90.00 90.00 90.00
With the nearest neighbours (Å) after each atom.
Space group P4/mmm (No. 123)
Asymmetric unit:
Mn: 0.0000 0.0000 0.0000 [1 per cell]  12 Ni 2.51-2.52
Mn: 0.0000 0.0000 0.2567 [2 per cell]  12 Ni 2.51-2.53
Be: 0.0000 0.0000 0.5000 [1 per cell]  12 Ni 2.40-2.51
Ni: 0.0000 0.5000 0.1279 [4 per cell]  8 Ni 2.51-2.52, 4 Mn 2.52-2.53
Ni: 0.0000 0.5000 0.3844 [4 per cell]  8 Ni 2.40-2.53, 2 Be 2.40, 2 Mn 2.52
Ni: 0.5000 0.5000 0.0000 [1 per cell]  4 Mn 2.51, 8 Ni 2.52
Ni: 0.5000 0.5000 0.2559 [2 per cell]  4 Mn 2.51, 8 Ni 2.52-2.53
Ni: 0.5000 0.5000 0.5000 [1 per cell]  8 Ni 2.40, 4 Be 2.51

***

No. 2
A relaxed structure of NaMo3Ru. Source: Alexandria via LeMat-Bulk, functional GGA-PBE.

Computed properties:
Crystal system: cubic
Calculated formation energy, eV/atom: 1.59
D(E_F), states/eV per cell: 7.0
Distance to the lowest polymorph of the same formula, meV per atom: 0

a b c (Å): 4.7734 4.7734 4.7734
angles (deg): 90.00 90.00 90.00
With the nearest neighbours (Å) after each atom.
Space group Pm-3m (No. 221)
Asymmetric unit:
Na: 0.0000 0.0000 0.0000 [1 per cell]  12 Mo 3.38
Mo: 0.0000 0.5000 0.5000 [3 per cell]  2 Ru 2.39
Ru: 0.5000 0.5000 0.5000 [1 per cell]  6 Mo 2.39

***

No. 3
A relaxed structure of La2PC. Source: Alexandria via LeMat-Bulk, functional GGA-PBE.

Computed properties:
Crystal system: cubic
Calculated formation energy, eV/atom: -0.11
D(E_F), states/eV per cell: 12.2
Distance to the lowest polymorph of the same formula, meV per atom: 765

a b c (Å): 6.9716 6.9716 6.9716
angles (deg): 90.00 90.00 90.00
With the nearest neighbours (Å) after each atom.
Space group Fm-3m (No. 225)
Asymmetric unit:
La: 0.2500 0.2500 0.2500 [8 per cell]  4 C 3.02, 4 P 3.02
P: 0.0000 0.0000 0.0000 [4 per cell]  8 La 3.02
C: 0.0000 0.0000 0.5000 [4 per cell]  8 La 3.02

***

No. 4
A relaxed structure of Tb6PaO12. Source: Alexandria via LeMat-Bulk, functional GGA-PBE.

Computed properties:
Crystal system: trigonal
D(E_F), states/eV per cell: 40.0
ΔE_f (raw), eV per atom: -3.493

a b c (Å): 10.1171 10.1171 9.4431
angles (deg): 90.00 90.00 120.00
With the nearest neighbours (Å) after each atom.
Space group R-3 (No. 148, hexagonal axes)
Asymmetric unit:
Tb: 0.0429 0.7880 0.1462 [18 per cell]  6 O 2.26-2.37
Pa: 0.0000 0.0000 0.5000 [3 per cell]  6 O 2.18
O: 0.0342 0.8149 0.8976 [18 per cell]  4 Tb 2.26-2.37
O: 0.0366 0.8321 0.3890 [18 per cell]  1 Pa 2.18, 2 Tb 2.33-2.34

***

No. 5
A relaxed structure of Ce3ThRh2. Source: Alexandria via LeMat-Bulk, functional GGA-PBE.

Computed properties:
Crystal system: monoclinic
Calculated formation energy, eV/atom: -0.51
D(E_F), states/eV per cell: 41.4

a b c (Å): 16.3555 4.4371 8.7039
angles (deg): 90.00 117.96 90.00
With the nearest neighbours (Å) after each atom.
Space group C2/m (No. 12)
Asymmetric unit:
Ce: 0.0666 0.0000 0.4289 [4 per cell]  2 Rh 2.92, 4 Ce 2.97-3.21
Ce: 0.1248 0.5000 0.6889 [4 per cell]  3 Rh 2.90-3.04, 2 Ce 2.99
Ce: 0.2110 0.5000 0.3822 [4 per cell]  2 Rh 2.76-2.78, 2 Ce 2.88
Th: 0.1131 0.0000 0.0261 [4 per cell]  5 Rh 2.90-3.07
Rh: 0.0195 0.5000 0.1841 [4 per cell]  4 Ce 2.78-3.04, 1 Rh 2.96, 2 Th 3.04
Rh: 0.2418 0.0000 0.8831 [4 per cell]  3 Ce 2.76-2.90, 3 Th 2.90-3.07, 2 Rh 2.94

***

No. 6
A relaxed structure of KTa2Cd. Source: Alexandria via LeMat-Bulk, functional GGA-PBE.

Computed properties:
Crystal system: orthorhombic
Calculated formation energy, eV/atom: 0.48
D(E_F), states/eV per cell: 5.0

a b c (Å): 3.4396 4.8509 11.0043
angles (deg): 90.00 90.00 90.00
With the nearest neighbours (Å) after each atom.
Space group Cmm2 (No. 35)
Asymmetric unit:
K: 0.0000 0.0000 0.0000 [2 per cell]  4 K 2.97
Ta: 0.0000 0.0000 0.5104 [2 per cell]  6 Ta 2.73-2.97, 2 Cd 3.03
Ta: 0.0000 0.5000 0.7034 [2 per cell]  6 Ta 2.73-2.97
Cd: 0.0000 0.5000 0.2837 [2 per cell]  4 Cd 2.97, 2 Ta 3.03

***

> D(E_F) of number 1 (Mn3BeNi12)?

17.5 states/eV per cell

***

> What is the D(E_F) in the first record?

17.5 states/eV per cell

***

What did the second record say?
A relaxed structure of NaMo3Ru. Source: Alexandria via LeMat-Bulk, functional GGA-PBE.

Computed properties:
Crystal system: cubic
Calculated formation energy, eV/atom: 1.59
D(E_F), states/eV per cell: 7.0
Distance to the lowest polymorph of the same formula, meV per atom: 0

a b c (Å): 4.7734 4.7734 4.7734
angles (deg): 90.00 90.00 90.00
With the nearest neighbours (Å) after each atom.
Space group Pm-3m (No. 221)
Asymmetric unit:
Na: 0.0000 0.0000 0.0000 [1 per cell]  12 Mo 3.38
Mo: 0.0000 0.5000 0.5000 [3 per cell]  2 Ru 2.39
Ru: 0.5000 0.5000 0.5000 [1 per cell]  6 Mo 2.39

***

> Look up the D(E_F) of the sixth one.

5.0 states/eV per cell